First-principles (PBE-GGA) data for a relaxed structure of Ac2Sm9Dy, as listed in Alexandria.

```
Ac2Sm9Dy
1.0
5.200 0.000 0.000
0.000 5.200 0.000
0.000 0.000 15.619
Ac Sm Dy
2 9 1
direct
0.000 0.000 0.169
0.000 0.000 0.831
0.000 0.500 0.000
0.000 0.500 0.340
0.000 0.500 0.660
0.500 0.000 0.000
0.500 0.000 0.340
0.500 0.000 0.660
0.500 0.500 0.170
0.500 0.500 0.500
0.500 0.500 0.830
0.000 0.000 0.500
```

Results
Space group: No. 123
Raw total energy (eV per cell): -54.89
N(E_F) (states/eV/atom): 1.6984
Spin magnetization (μB per atom): 0.000